# CaAcNi2Ge2 | Alexandria via LeMat-Bulk | GGA-PBE | relaxed
data_CaAcNi2Ge2
_chemical_formula_sum 'Ca1 Ac1 Ni2 Ge2'
_space_group_name_H-M_alt 'P -3 m 1'
_space_group_IT_number 164
_space_group_name_Hall '-P 3 2"'
_cell_length_a 4.1340
_cell_length_b 4.1340
_cell_length_c 8.7901
_cell_angle_alpha 90.00
_cell_angle_beta 90.00
_cell_angle_gamma 120.00
loop_
_atom_site_label
_atom_site_type_symbol
_atom_site_fract_x
_atom_site_fract_y
_atom_site_fract_z
Ca1 Ca 0.0000 0.0000 0.0000
Ac1 Ac 0.0000 0.0000 0.5000
Ni1 Ni 0.3333 0.6667 0.2404
Ge1 Ge 0.3333 0.6667 0.7625
# - volume (A^3/atom) = 21.68
# - M_tot (μB per cell) = 0.00
# - energy of formation (eV/atom) = -0.567
# - crystal system = trigonal